Record 1
Below is an optimized crystal structure of SbHPd2, with properties calculated at the PBE level.

Structure (CIF):
```
data_SbHPd2
_chemical_formula_sum 'Sb3 H3 Pd6'
_cell_length_a 3.2285
_cell_length_b 3.2285
_cell_length_c 19.3024
_cell_angle_alpha 90.00
_cell_angle_beta 90.00
_cell_angle_gamma 120.00
_symmetry_space_group_name_H-M 'R 3 m'
_symmetry_Int_Tables_number 160
_symmetry_space_group_name_Hall 'R 3 -2"'
loop_
_atom_site_label
_atom_site_fract_x
_atom_site_fract_y
_atom_site_fract_z
Sb1 0.0000 0.0000 0.0000
H1 0.0000 0.0000 0.8139
Pd1 0.0000 0.0000 0.2297
Pd2 0.0000 0.0000 0.4482
```

Density of states at the Fermi level in states/eV per atom: 0.355
Energy in eV per atom: -4.56
Crystal system: trigonal
Offset from the most stable computed form in meV/atom: 142

Record 2
Below is an optimized crystal structure of SbH2Pd4, with properties calculated at the PBE level.

Structure (CIF):
```
data_SbH2Pd4
_chemical_formula_sum 'Sb2 H4 Pd8'
_cell_length_a 5.0245
_cell_length_b 5.5588
_cell_length_c 7.3608
_cell_angle_alpha 106.35
_cell_angle_beta 107.60
_cell_angle_gamma 94.19
_symmetry_space_group_name_H-M 'P 1'
_symmetry_Int_Tables_number 1
loop_
_symmetry_equiv_pos_as_xyz
'x,y,z'
loop_
_atom_site_label
_atom_site_fract_x
_atom_site_fract_y
_atom_site_fract_z
Sb1 0.0000 0.0000 0.0000
Sb2 0.2859 0.7205 0.4976
H1 0.2881 0.4421 0.8446
H2 0.6090 0.0402 0.2566
H3 0.6237 0.4589 0.1372
H4 0.7208 0.2966 0.6411
Pd1 0.0441 0.1470 0.6699
Pd2 0.2501 0.4962 0.1051
Pd3 0.4018 0.1410 0.4107
Pd4 0.4164 0.8121 0.8832
Pd5 0.6420 0.3357 0.8765
Pd6 0.8071 0.6353 0.6444
Pd7 0.8111 0.7964 0.2493
Pd8 0.8710 0.3150 0.2954
```

Density of states at the Fermi level in states/eV per atom: 0.359
Energy in eV per atom: -4.74
Crystal system: triclinic
Offset from the most stable computed form in meV/atom: 0

Record 3
Below is an optimized crystal structure of SbH2Pd, with properties calculated at the PBE level.

Structure (CIF):
```
data_SbH2Pd
_chemical_formula_sum 'Sb4 H8 Pd4'
_cell_length_a 4.9531
_cell_length_b 4.9531
_cell_length_c 8.5459
_cell_angle_alpha 90.00
_cell_angle_beta 90.00
_cell_angle_gamma 90.00
_symmetry_space_group_name_H-M 'I -4 2 d'
_symmetry_Int_Tables_number 122
_symmetry_space_group_name_Hall 'I -4 2bw'
loop_
_atom_site_label
_atom_site_fract_x
_atom_site_fract_y
_atom_site_fract_z
Sb1 0.0000 0.0000 0.0000
H1 0.1140 0.2500 0.6250
Pd1 0.0000 0.0000 0.5000
```

Density of states at the Fermi level in states/eV per atom: 0.380
Energy in eV per atom: -3.78
Crystal system: tetragonal
Offset from the most stable computed form in meV/atom: 0

Record 4
Below is an optimized crystal structure of SbHPd, with properties calculated at the PBE level.

Structure (CIF):
```
data_SbHPd
_chemical_formula_sum 'Sb2 H2 Pd2'
_cell_length_a 3.8518
_cell_length_b 3.8518
_cell_length_c 6.5229
_cell_angle_alpha 90.00
_cell_angle_beta 90.00
_cell_angle_gamma 90.00
_symmetry_space_group_name_H-M 'I 4 m m'
_symmetry_Int_Tables_number 107
_symmetry_space_group_name_Hall 'I 4 -2'
loop_
_atom_site_label
_atom_site_fract_x
_atom_site_fract_y
_atom_site_fract_z
Sb1 0.0000 0.0000 0.0000
H1 0.0000 0.0000 0.6854
Pd1 0.0000 0.0000 0.4280
```

Density of states at the Fermi level in states/eV per atom: 0.199
Energy in eV per atom: -4.21
Crystal system: tetragonal
Offset from the most stable computed form in meV/atom: 0

Record 5
Below is an optimized crystal structure of SbH2Pd2, with properties calculated at the PBE level.

Structure (CIF):
```
data_SbH2Pd2
_chemical_formula_sum 'Sb2 H4 Pd4'
_cell_length_a 3.2356
_cell_length_b 3.2356
_cell_length_c 11.8643
_cell_angle_alpha 90.00
_cell_angle_beta 90.00
_cell_angle_gamma 90.00
_symmetry_space_group_name_H-M 'I 4/m m m'
_symmetry_Int_Tables_number 139
_symmetry_space_group_name_Hall '-I 4 2'
loop_
_atom_site_label
_atom_site_fract_x
_atom_site_fract_y
_atom_site_fract_z
Sb1 0.0000 0.0000 0.0000
H1 0.0000 0.5000 0.2500
Pd1 0.0000 0.0000 0.3357
```

Density of states at the Fermi level in states/eV per atom: 0.321
Energy in eV per atom: -4.33
Crystal system: tetragonal
Offset from the most stable computed form in meV/atom: 0

Record 6
Below is an optimized crystal structure of Sb2HPd8, with properties calculated at the PBE level.

Structure (CIF):
```
data_Sb2HPd8
_chemical_formula_sum 'Sb4 H2 Pd16'
_cell_length_a 14.1571
_cell_length_b 4.4334
_cell_length_c 5.7379
_cell_angle_alpha 90.00
_cell_angle_beta 105.08
_cell_angle_gamma 90.00
_symmetry_space_group_name_H-M 'C 1 2/m 1'
_symmetry_Int_Tables_number 12
loop_
_symmetry_equiv_pos_as_xyz
'x,y,z'
'-x,-y,-z'
'-x,y,-z'
'x,-y,z'
'x+1/2,y+1/2,z'
'-x+1/2,-y+1/2,-z'
'-x+1/2,y+1/2,-z'
'x+1/2,-y+1/2,z'
loop_
_atom_site_label
_atom_site_fract_x
_atom_site_fract_y
_atom_site_fract_z
Sb1 0.1589 0.0000 0.1641
H1 0.0000 0.5000 0.5000
Pd1 0.0223 0.0000 0.7504
Pd2 0.0951 0.5000 0.3759
Pd3 0.1551 0.5000 0.8914
Pd4 0.2088 0.0000 0.6362
```

Density of states at the Fermi level in states/eV per atom: 0.434
Energy in eV per atom: -5.10
Crystal system: monoclinic
Offset from the most stable computed form in meV/atom: 13

Record 7
Below is an optimized crystal structure of Sb2HPd8, with properties calculated at the PBE level.

Structure (CIF):
```
data_Sb2HPd8
_chemical_formula_sum 'Sb4 H2 Pd16'
_cell_length_a 7.0759
_cell_length_b 14.1410
_cell_length_c 4.2064
_cell_angle_alpha 90.00
_cell_angle_beta 126.42
_cell_angle_gamma 90.00
_symmetry_space_group_name_H-M 'C 1 m 1'
_symmetry_Int_Tables_number 8
loop_
_symmetry_equiv_pos_as_xyz
'x,y,z'
'x,-y,z'
'x+1/2,y+1/2,z'
'x+1/2,-y+1/2,z'
loop_
_atom_site_label
_atom_site_fract_x
_atom_site_fract_y
_atom_site_fract_z
Sb1 0.0000 0.1847 0.0000
H1 0.4978 0.0000 0.9381
Pd1 0.0005 0.2986 0.5000
Pd2 0.0004 0.5000 0.5027
Pd3 0.0005 0.0000 0.9983
Pd4 0.2503 0.1034 0.7507
Pd5 0.2504 0.3967 0.2509
```

Density of states at the Fermi level in states/eV per atom: 0.640
Energy in eV per atom: -5.11
Crystal system: monoclinic
Offset from the most stable computed form in meV/atom: 0

Record 8
Below is an optimized crystal structure of SbH4Pd6, with properties calculated at the PBE level.

Structure (CIF):
```
data_SbH4Pd6
_chemical_formula_sum 'Sb2 H8 Pd12'
_cell_length_a 5.5209
_cell_length_b 5.5209
_cell_length_c 8.6263
_cell_angle_alpha 90.00
_cell_angle_beta 90.00
_cell_angle_gamma 90.00
_symmetry_space_group_name_H-M 'I -4 2 m'
_symmetry_Int_Tables_number 121
_symmetry_space_group_name_Hall 'I -4 2'
loop_
_atom_site_label
_atom_site_fract_x
_atom_site_fract_y
_atom_site_fract_z
Sb1 0.0000 0.0000 0.0000
H1 0.1285 0.1285 0.6484
Pd1 0.0000 0.5000 0.0000
Pd2 0.1794 0.1794 0.2633
```

Density of states at the Fermi level in states/eV per atom: 0.410
Energy in eV per atom: -4.53
Crystal system: tetragonal

Record 9
Below is an optimized crystal structure of SbHPd2, with properties calculated at the PBE level.

Structure (CIF):
```
data_SbHPd2
_chemical_formula_sum 'Sb4 H4 Pd8'
_cell_length_a 6.2422
_cell_length_b 3.6912
_cell_length_c 10.3888
_cell_angle_alpha 90.00
_cell_angle_beta 90.00
_cell_angle_gamma 90.00
_symmetry_space_group_name_H-M 'P n m a'
_symmetry_Int_Tables_number 62
loop_
_symmetry_equiv_pos_as_xyz
'x,y,z'
'-x,-y,-z'
'-x+1/2,-y,z+1/2'
'x+1/2,y,-z+1/2'
'x+1/2,-y+1/2,-z+1/2'
'-x+1/2,y+1/2,z+1/2'
'-x,y+1/2,-z'
'x,-y+1/2,z'
loop_
_atom_site_label
_atom_site_fract_x
_atom_site_fract_y
_atom_site_fract_z
Sb1 0.0262 0.2500 0.1425
H1 0.1099 0.7500 0.4707
Pd1 0.1826 0.7500 0.3010
Pd2 0.1911 0.2500 0.5246
```

Density of states at the Fermi level in states/eV per atom: 0.317
Energy in eV per atom: -4.70
Crystal system: orthorhombic
Offset from the most stable computed form in meV/atom: 0

Record 10
Below is an optimized crystal structure of SbHPd5, with properties calculated at the PBE level.

Structure (CIF):
```
data_SbHPd5
_chemical_formula_sum 'Sb4 H4 Pd20'
_cell_length_a 9.5520
_cell_length_b 7.3307
_cell_length_c 8.0085
_cell_angle_alpha 90.00
_cell_angle_beta 125.42
_cell_angle_gamma 90.00
_symmetry_space_group_name_H-M 'C 1 2/c 1'
_symmetry_Int_Tables_number 15
loop_
_symmetry_equiv_pos_as_xyz
'x,y,z'
'-x,-y,-z'
'-x,y,-z+1/2'
'x,-y,z+1/2'
'x+1/2,y+1/2,z'
'-x+1/2,-y+1/2,-z'
'-x+1/2,y+1/2,-z+1/2'
'x+1/2,-y+1/2,z+1/2'
loop_
_atom_site_label
_atom_site_fract_x
_atom_site_fract_y
_atom_site_fract_z
Sb1 0.0000 0.1570 0.2500
H1 0.0000 0.5000 0.0000
Pd1 0.0000 0.4887 0.7500
Pd2 0.0624 0.1643 0.9616
Pd3 0.2343 0.4741 0.1664
```

Density of states at the Fermi level in states/eV per atom: 0.544
Energy in eV per atom: -4.82
Crystal system: monoclinic

Record 11
Below is an optimized crystal structure of SbH6Pd8, with properties calculated at the PBE level.

Structure (CIF):
```
data_SbH6Pd8
_chemical_formula_sum 'Sb1 H6 Pd8'
_cell_length_a 7.9880
_cell_length_b 7.9880
_cell_length_c 2.9514
_cell_angle_alpha 90.00
_cell_angle_beta 90.00
_cell_angle_gamma 120.00
_symmetry_space_group_name_H-M 'P -3'
_symmetry_Int_Tables_number 147
loop_
_symmetry_equiv_pos_as_xyz
'x,y,z'
'-x,-y,-z'
'-y,x-y,z'
'y,-x+y,-z'
'-x+y,-x,z'
'x-y,x,-z'
loop_
_atom_site_label
_atom_site_fract_x
_atom_site_fract_y
_atom_site_fract_z
Sb1 0.0000 0.0000 0.0000
H1 0.1548 0.7000 0.7204
Pd1 0.0187 0.3388 0.7874
Pd2 0.3333 0.6667 0.3793
```

Density of states at the Fermi level in states/eV per atom: 0.390
Energy in eV per atom: -4.51
Crystal system: trigonal

Record 12
Below is an optimized crystal structure of SbH2Pd, with properties calculated at the PBE level.

Structure (CIF):
```
data_SbH2Pd
_chemical_formula_sum 'Sb4 H8 Pd4'
_cell_length_a 5.7528
_cell_length_b 5.7528
_cell_length_c 5.7528
_cell_angle_alpha 90.00
_cell_angle_beta 90.00
_cell_angle_gamma 90.00
_symmetry_space_group_name_H-M 'F m -3 m'
_symmetry_Int_Tables_number 225
_symmetry_space_group_name_Hall '-F 4 2 3'
loop_
_atom_site_label
_atom_site_fract_x
_atom_site_fract_y
_atom_site_fract_z
Sb1 0.0000 0.0000 0.0000
H1 0.2500 0.2500 0.2500
Pd1 0.0000 0.0000 0.5000
```

Density of states at the Fermi level in states/eV per atom: 0.203
Energy in eV per atom: -3.41
Crystal system: cubic
Offset from the most stable computed form in meV/atom: 372